Entry 1:
# Li3HgPt, optimized geometry, DFT PBE
data_Li3HgPt
_chemical_formula_sum 'Li12 Hg4 Pt4'
_cell_length_a 7.267
_cell_length_b 7.267
_cell_length_c 6.211
_cell_angle_alpha 90.08
_cell_angle_beta 90.08
_cell_angle_gamma 85.22
_symmetry_space_group_name_H-M 'P 1'
_symmetry_Int_Tables_number 1
_symmetry_space_group_name_Hall 'P 1'
loop_
_atom_site_label
_atom_site_type_symbol
_atom_site_fract_x
_atom_site_fract_y
_atom_site_fract_z
Li1 Li 0.076 0.134 0.394
Li2 Li 0.100 0.399 0.678
Li3 Li 0.134 0.076 0.894
Li4 Li 0.365 0.423 0.394
Li5 Li 0.399 0.100 0.178
Li6 Li 0.423 0.365 0.894
Li7 Li 0.577 0.635 0.106
Li8 Li 0.601 0.900 0.822
Li9 Li 0.635 0.577 0.606
Li10 Li 0.866 0.924 0.106
Li11 Li 0.900 0.601 0.322
Li12 Li 0.924 0.866 0.606
Hg1 Hg 0.224 0.776 0.250
Hg2 Hg 0.277 0.723 0.750
Hg3 Hg 0.723 0.277 0.250
Hg4 Hg 0.776 0.224 0.750
Pt1 Pt 0.121 0.378 0.112
Pt2 Pt 0.378 0.121 0.612
Pt3 Pt 0.622 0.879 0.388
Pt4 Pt 0.879 0.622 0.888
# SG   C2/c, No. 15
# Energy above the lowest structure with this stoichiometry   128 meV/atom
# Volume   16.34 Å³ per atom
# ΔH_f (0 K)   -0.308 eV/atom

Entry 2:
# CsAl2F8, optimized geometry, DFT PBE
data_CsAl2F8
_chemical_formula_sum 'Cs1 Al2 F8'
_cell_length_a 4.707
_cell_length_b 4.707
_cell_length_c 7.307
_cell_angle_alpha 90.00
_cell_angle_beta 90.00
_cell_angle_gamma 90.00
_symmetry_space_group_name_H-M 'P 1'
_symmetry_Int_Tables_number 1
_symmetry_space_group_name_Hall 'P 1'
loop_
_atom_site_label
_atom_site_type_symbol
_atom_site_fract_x
_atom_site_fract_y
_atom_site_fract_z
Cs1 Cs 0.000 0.000 0.000
Al1 Al 0.000 0.500 0.500
Al2 Al 0.500 0.000 0.500
F1 F 0.250 0.250 0.346
F2 F 0.250 0.250 0.654
F3 F 0.250 0.750 0.346
F4 F 0.250 0.750 0.654
F5 F 0.750 0.250 0.346
F6 F 0.750 0.250 0.654
F7 F 0.750 0.750 0.346
F8 F 0.750 0.750 0.654
# SG   P4/mmm, No. 123
# Raw formation energy   -2.7143 eV/atom
# Volume   14.72 Å³ per atom

Entry 3:
# RbZrAlZn2, optimized geometry, DFT PBE
data_RbZrAlZn2
_chemical_formula_sum 'Rb1 Zr1 Al1 Zn2'
_cell_length_a 5.506
_cell_length_b 5.506
_cell_length_c 5.478
_cell_angle_alpha 90.00
_cell_angle_beta 90.00
_cell_angle_gamma 90.00
_symmetry_space_group_name_H-M 'P 1'
_symmetry_Int_Tables_number 1
_symmetry_space_group_name_Hall 'P 1'
loop_
_atom_site_label
_atom_site_type_symbol
_atom_site_fract_x
_atom_site_fract_y
_atom_site_fract_z
Rb1 Rb 0.000 0.000 0.000
Zr1 Zr 0.500 0.500 0.500
Al1 Al 0.500 0.500 0.000
Zn1 Zn 0.000 0.500 0.500
Zn2 Zn 0.500 0.000 0.500
# SG   P4/mmm, No. 123
# Volume   33.21 Å³ per atom
# ΔH_f (0 K)   0.565 eV/atom

Entry 4:
# SrCaEuHo, optimized geometry, DFT PBE
data_SrCaEuHo
_chemical_formula_sum 'Sr1 Ca1 Eu1 Ho1'
_cell_length_a 6.104
_cell_length_b 6.104
_cell_length_c 6.104
_cell_angle_alpha 60.00
_cell_angle_beta 60.00
_cell_angle_gamma 60.00
_symmetry_space_group_name_H-M 'P 1'
_symmetry_Int_Tables_number 1
_symmetry_space_group_name_Hall 'P 1'
loop_
_atom_site_label
_atom_site_type_symbol
_atom_site_fract_x
_atom_site_fract_y
_atom_site_fract_z
Sr1 Sr 0.000 0.000 0.000
Ca1 Ca 0.750 0.750 0.750
Eu1 Eu 0.250 0.250 0.250
Ho1 Ho 0.500 0.500 0.500
# SG   F-43m, No. 216
# Volume   40.21 Å³ per atom
# ΔH_f (0 K)   0.150 eV/atom

Entry 5:
# TbNd2DyHo2, optimized geometry, DFT PBE
data_TbNd2DyHo2
_chemical_formula_sum 'Tb2 Nd4 Dy2 Ho4'
_cell_length_a 7.013
_cell_length_b 5.664
_cell_length_c 9.813
_cell_angle_alpha 90.00
_cell_angle_beta 90.00
_cell_angle_gamma 90.00
_symmetry_space_group_name_H-M 'P 1'
_symmetry_Int_Tables_number 1
_symmetry_space_group_name_Hall 'P 1'
loop_
_atom_site_label
_atom_site_type_symbol
_atom_site_fract_x
_atom_site_fract_y
_atom_site_fract_z
Tb1 Tb 0.000 0.000 0.000
Tb2 Tb 0.500 0.000 0.000
Nd1 Nd 0.000 0.500 0.500
Nd2 Nd 0.250 0.000 0.326
Nd3 Nd 0.500 0.500 0.500
Nd4 Nd 0.750 0.000 0.674
Dy1 Dy 0.250 0.500 0.839
Dy2 Dy 0.750 0.500 0.161
Ho1 Ho 0.250 0.000 0.664
Ho2 Ho 0.250 0.500 0.167
Ho3 Ho 0.750 0.000 0.336
Ho4 Ho 0.750 0.500 0.833
# SG   Pmma, No. 51
# Volume   32.48 Å³ per atom
# ΔH_f (0 K)   0.067 eV/atom

Entry 6:
# Sr2BeCr2, optimized geometry, DFT PBE
data_Sr2BeCr2
_chemical_formula_sum 'Sr2 Be1 Cr2'
_cell_length_a 10.540
_cell_length_b 10.540
_cell_length_c 10.540
_cell_angle_alpha 162.04
_cell_angle_beta 162.04
_cell_angle_gamma 25.51
_symmetry_space_group_name_H-M 'P 1'
_symmetry_Int_Tables_number 1
_symmetry_space_group_name_Hall 'P 1'
loop_
_atom_site_label
_atom_site_type_symbol
_atom_site_fract_x
_atom_site_fract_y
_atom_site_fract_z
Sr1 Sr 0.105 0.105 0.000
Sr2 Sr 0.895 0.895 0.000
Be1 Be 0.500 0.500 0.000
Cr1 Cr 0.250 0.750 0.500
Cr2 Cr 0.750 0.250 0.500
# SG   I4/mmm, No. 139
# Volume   22.27 Å³ per atom
# ΔH_f (0 K)   0.878 eV/atom

Entry 7:
# Al2V2Rh, optimized geometry, DFT PBE
data_Al2V2Rh
_chemical_formula_sum 'Al4 V4 Rh2'
_cell_length_a 6.460
_cell_length_b 6.460
_cell_length_c 3.511
_cell_angle_alpha 90.00
_cell_angle_beta 90.00
_cell_angle_gamma 90.00
_symmetry_space_group_name_H-M 'P 1'
_symmetry_Int_Tables_number 1
_symmetry_space_group_name_Hall 'P 1'
loop_
_atom_site_label
_atom_site_type_symbol
_atom_site_fract_x
_atom_site_fract_y
_atom_site_fract_z
Al1 Al 0.139 0.361 0.000
Al2 Al 0.361 0.861 0.000
Al3 Al 0.639 0.139 0.000
Al4 Al 0.861 0.639 0.000
V1 V 0.163 0.663 0.500
V2 V 0.337 0.163 0.500
V3 V 0.663 0.837 0.500
V4 V 0.837 0.337 0.500
Rh1 Rh 0.000 0.000 0.000
Rh2 Rh 0.500 0.500 0.000
# SG   P4/mbm, No. 127
# Energy above the lowest structure with this stoichiometry   0 meV/atom
# Volume   14.65 Å³ per atom
# ΔH_f (0 K)   -0.171 eV/atom

Entry 8:
# Y2ZnCd2, optimized geometry, DFT PBE
data_Y2ZnCd2
_chemical_formula_sum 'Y2 Zn1 Cd2'
_cell_length_a 9.264
_cell_length_b 9.264
_cell_length_c 9.264
_cell_angle_alpha 155.71
_cell_angle_beta 155.71
_cell_angle_gamma 34.63
_symmetry_space_group_name_H-M 'P 1'
_symmetry_Int_Tables_number 1
_symmetry_space_group_name_Hall 'P 1'
loop_
_atom_site_label
_atom_site_type_symbol
_atom_site_fract_x
_atom_site_fract_y
_atom_site_fract_z
Y1 Y 0.093 0.093 0.000
Y2 Y 0.907 0.907 0.000
Zn1 Zn 0.500 0.500 0.000
Cd1 Cd 0.250 0.750 0.500
Cd2 Cd 0.750 0.250 0.500
# SG   I4/mmm, No. 139
# Energy above the lowest structure with this stoichiometry   223 meV/atom
# Volume   26.88 Å³ per atom
# ΔH_f (0 K)   0.001 eV/atom

Copy entry 1 word for word.
# Li3HgPt, optimized geometry, DFT PBE
data_Li3HgPt
_chemical_formula_sum 'Li12 Hg4 Pt4'
_cell_length_a 7.267
_cell_length_b 7.267
_cell_length_c 6.211
_cell_angle_alpha 90.08
_cell_angle_beta 90.08
_cell_angle_gamma 85.22
_symmetry_space_group_name_H-M 'P 1'
_symmetry_Int_Tables_number 1
_symmetry_space_group_name_Hall 'P 1'
loop_
_atom_site_label
_atom_site_type_symbol
_atom_site_fract_x
_atom_site_fract_y
_atom_site_fract_z
Li1 Li 0.076 0.134 0.394
Li2 Li 0.100 0.399 0.678
Li3 Li 0.134 0.076 0.894
Li4 Li 0.365 0.423 0.394
Li5 Li 0.399 0.100 0.178
Li6 Li 0.423 0.365 0.894
Li7 Li 0.577 0.635 0.106
Li8 Li 0.601 0.900 0.822
Li9 Li 0.635 0.577 0.606
Li10 Li 0.866 0.924 0.106
Li11 Li 0.900 0.601 0.322
Li12 Li 0.924 0.866 0.606
Hg1 Hg 0.224 0.776 0.250
Hg2 Hg 0.277 0.723 0.750
Hg3 Hg 0.723 0.277 0.250
Hg4 Hg 0.776 0.224 0.750
Pt1 Pt 0.121 0.378 0.112
Pt2 Pt 0.378 0.121 0.612
Pt3 Pt 0.622 0.879 0.388
Pt4 Pt 0.879 0.622 0.888
# SG   C2/c, No. 15
# Energy above the lowest structure with this stoichiometry   128 meV/atom
# Volume   16.34 Å³ per atom
# ΔH_f (0 K)   -0.308 eV/atom

> Which value of volume does entry 1 give?

16.34 Å³ per atom

> Among the records above, which one has the lowest volume?

Al2V2Rh